Record 1
KLa2TcH: relaxed, PBE-GGA.

Properties
E = -4.382 eV/atom
volume = 186 Å³/f.u.

a = 5.241 Å, b = 5.241 Å, c = 6.757 Å
α = 90.00°, β = 90.00°, γ = 90.00°
Space group P4/mmm (No. 123)
Unique sites:
K1 0.000 0.000 0.000 [1 per cell]
La1 0.000 0.500 0.500 [2 per cell]
Tc1 0.000 0.000 0.500 [1 per cell]
H1 0.500 0.500 0.000 [1 per cell]


Record 2
K2LiH3: relaxed, PBE-GGA.

Properties
energy above the most stable polymorph in this dataset = 0 meV/atom
E = -2.614 eV/atom
volume = 111 Å³/f.u.

a = 12.662 Å, b = 6.070 Å, c = 5.763 Å
α = 90.00°, β = 90.00°, γ = 90.00°
Space group Cmcm (No. 63)
Unique sites:
K1 0.146 0.241 0.250 [8 per cell]
Li1 0.000 0.188 0.750 [4 per cell]
H1 0.000 0.000 0.000 [4 per cell]
H2 0.138 0.312 0.750 [8 per cell]


Record 3
K2Li4H: relaxed, PBE-GGA.

Properties
E = -1.854 eV/atom
volume = 210 Å³/f.u.

a = 4.062 Å, b = 4.062 Å, c = 25.468 Å
α = 90.00°, β = 90.00°, γ = 90.00°
Space group I4/mmm (No. 139)
Unique sites:
K1 0.000 0.000 0.176 [4 per cell]
Li1 0.000 0.000 0.422 [4 per cell]
Li2 0.000 0.500 0.000 [4 per cell]
H1 0.000 0.000 0.500 [2 per cell]


Record 4
K3LiH3: relaxed, PBE-GGA.

Properties
E = -2.322 eV/atom
volume = 172 Å³/f.u.

a = 7.856 Å, b = 10.751 Å, c = 8.171 Å
α = 90.00°, β = 95.69°, γ = 90.00°
Space group C2/m (No. 12)
Unique sites:
K1 0.000 0.183 0.000 [4 per cell]
K2 0.000 0.190 0.500 [4 per cell]
K3 0.146 0.500 0.178 [4 per cell]
Li1 0.242 0.500 0.755 [4 per cell]
H1 0.015 0.000 0.256 [4 per cell]
H2 0.168 0.367 0.872 [8 per cell]


Record 5
KLiH4: relaxed, PBE-GGA.

Properties
E = -2.815 eV/atom
volume = 75 Å³/f.u.

a = 14.373 Å, b = 6.090 Å, c = 3.459 Å
α = 90.00°, β = 94.19°, γ = 90.00°
Space group C2/m (No. 12)
Unique sites:
K1 0.147 0.000 0.217 [4 per cell]
Li1 0.129 0.500 0.717 [4 per cell]
H1 0.000 0.256 0.500 [4 per cell]
H2 0.060 0.249 0.684 [8 per cell]
H3 0.196 0.500 0.237 [4 per cell]


Record 6
K2LiH3: relaxed, PBE-GGA.

Properties
energy above the most stable polymorph in this dataset = 11 meV/atom
E = -2.603 eV/atom
volume = 106 Å³/f.u.

a = 7.693 Å, b = 3.721 Å, c = 14.773 Å
α = 90.00°, β = 90.00°, γ = 90.00°
Space group Pnma (No. 62)
Unique sites:
K1 0.083 0.250 0.213 [4 per cell]
K2 0.236 0.250 0.952 [4 per cell]
Li1 0.132 0.250 0.632 [4 per cell]
H1 0.025 0.750 0.605 [4 per cell]
H2 0.148 0.750 0.075 [4 per cell]
H3 0.172 0.250 0.760 [4 per cell]


Record 7
KLi2H6: relaxed, PBE-GGA.

Properties
E = -2.191 eV/atom
volume = 95 Å³/f.u.

a = 5.1271 Å, b = 5.1271 Å, c = 12.5414 Å
α = 90.00°, β = 90.00°, γ = 120.00°
Space group R-3m (No. 166, hexagonal axes)
Unique sites:
K1 0.0000 0.0000 0.0000 [3 per cell]
Li1 0.0000 0.0000 0.2502 [6 per cell]
H1 0.0889 0.1779 0.5445 [18 per cell]


Record 8
KLi3H3: relaxed, PBE-GGA.

Properties
E = -2.547 eV/atom
volume = 94 Å³/f.u.

a = 5.724 Å, b = 5.724 Å, c = 5.724 Å
α = 90.00°, β = 90.00°, γ = 90.00°
Space group Pm-3n (No. 223)
Unique sites:
K1 0.000 0.000 0.000 [2 per cell]
Li1 0.000 0.250 0.500 [6 per cell]
H1 0.000 0.500 0.250 [6 per cell]


Record 9
K3LiMg2H9: relaxed, PBE-GGA.

Properties
E = -2.718 eV/atom
volume = 192 Å³/f.u.

a = 5.6524 Å, b = 5.6524 Å, c = 6.9336 Å
α = 90.00°, β = 90.00°, γ = 120.00°
Space group P-3m1 (No. 164)
Unique sites:
K1 0.0000 0.0000 0.0000 [1 per cell]
K2 0.3333 0.6667 0.6599 [2 per cell]
Li1 0.0000 0.0000 0.5000 [1 per cell]
Mg1 0.3333 0.6667 0.1681 [2 per cell]
H1 0.0000 0.5000 0.0000 [3 per cell]
H2 0.1680 0.3361 0.3283 [6 per cell]


Record 10
KLi2HN: relaxed, PBE-GGA.

Properties
E = -3.250 eV/atom
volume = 88 Å³/f.u.

a = 3.958 Å, b = 3.958 Å, c = 5.591 Å
α = 90.00°, β = 90.00°, γ = 90.00°
Space group P4/mmm (No. 123)
Unique sites:
K1 0.000 0.000 0.000 [1 per cell]
Li1 0.000 0.500 0.500 [2 per cell]
H1 0.500 0.500 0.000 [1 per cell]
N1 0.000 0.000 0.500 [1 per cell]


Record 11
KLiH4S2N2O6: relaxed, PBE-GGA.

Properties
E = -5.609 eV/atom
volume = 197 Å³/f.u.

a = 5.322 Å, b = 8.571 Å, c = 8.972 Å
α = 90.00°, β = 105.62°, γ = 90.00°
Space group P2_1 (No. 4)
Unique sites:
K1 0.211 0.000 0.034 [2 per cell]
Li1 0.093 0.308 0.655 [2 per cell]
H1 0.323 0.454 0.431 [2 per cell]
H2 0.364 0.018 0.533 [2 per cell]
H3 0.444 0.655 0.632 [2 per cell]
H4 0.480 0.796 0.772 [2 per cell]
S1 0.082 0.690 0.706 [2 per cell]
S2 0.365 0.628 0.254 [2 per cell]
N1 0.403 0.688 0.735 [2 per cell]
N2 0.442 0.549 0.431 [2 per cell]
O1 0.001 0.026 0.324 [2 per cell]
O2 0.037 0.290 0.429 [2 per cell]
O3 0.039 0.750 0.850 [2 per cell]
O4 0.088 0.671 0.227 [2 per cell]
O5 0.405 0.512 0.142 [2 per cell]
O6 0.466 0.265 0.735 [2 per cell]


Record 12
KNa2LiH4: relaxed, PBE-GGA.

Properties
E = -2.624 eV/atom
volume = 117 Å³/f.u.

a = 3.444 Å, b = 11.740 Å, c = 11.575 Å
α = 90.00°, β = 90.00°, γ = 90.00°
Space group Cmcm (No. 63)
Unique sites:
K1 0.000 0.102 0.250 [4 per cell]
Na1 0.000 0.367 0.043 [8 per cell]
Li1 0.000 0.168 0.750 [4 per cell]
H1 0.000 0.000 0.000 [4 per cell]
H2 0.000 0.259 0.622 [8 per cell]
H3 0.000 0.411 0.250 [4 per cell]


Question: Which formula does entry 1 have?
Answer: KLa2TcH